# ScCr3

A geometry-optimized ScCr3 structure (PBE, Alexandria via LeMat-Bulk).

Cell and atoms, written as POSCAR:
```
ScCr3
1.0
2.939 -5.090 0.000
2.939 5.090 0.000
0.000 0.000 4.038
Cr Sc
6 2
Cartesian
2.939 3.705 3.029
1.200 0.693 3.029
4.678 -0.693 1.010
4.678 0.693 3.029
1.200 -0.693 1.010
2.939 -3.705 1.010
2.939 1.697 1.010
2.939 -1.697 3.029
```

Calculated values
Formation energy from the elements (eV per atom): 0.407
Crystal system: hexagonal
Mass density (g/cm3): 5.524
Size of the total moment (μB/f.u.): 0.000
SG: P6_3/mmc (194)